a) # V2InH2

An optimized crystal structure of V2InH2 (PBE, the Alexandria database).

Size of the total moment (μB/f.u.): 0.00
Space group: I4/mmm (139)

Cell and atoms, written as CIF:
```
data_V2InH2
_symmetry_space_group_name_H-M 'P 1'
_symmetry_Int_Tables_number 1
_cell_length_a 5.228
_cell_length_b 5.228
_cell_length_c 5.228
_cell_angle_alpha 142.32
_cell_angle_beta 142.32
_cell_angle_gamma 54.34
loop_
_symmetry_equiv_pos_as_xyz
'x,y,z'
loop_
_atom_site_label
_atom_site_type_symbol
_atom_site_fract_x
_atom_site_fract_y
_atom_site_fract_z
_atom_site_occupancy
V1 V 0.179 0.179 0.000 1
V2 V 0.821 0.821 0.000 1
In1 In 0.500 0.500 0.000 1
H1 H 0.250 0.750 0.500 1
H2 H 0.750 0.250 0.500 1
```

=====

b) # V2InH2

An optimized crystal structure of V2InH2 (PBE, the Alexandria database).

Size of the total moment (μB/f.u.): 1.48
Space group: P4/mbm (127)

Cell and atoms, written as CIF:
```
data_V2InH2
_symmetry_space_group_name_H-M 'P 1'
_symmetry_Int_Tables_number 1
_cell_length_a 6.983
_cell_length_b 6.983
_cell_length_c 2.668
_cell_angle_alpha 90.00
_cell_angle_beta 90.00
_cell_angle_gamma 90.00
loop_
_symmetry_equiv_pos_as_xyz
'x,y,z'
loop_
_atom_site_label
_atom_site_type_symbol
_atom_site_fract_x
_atom_site_fract_y
_atom_site_fract_z
_atom_site_occupancy
V1 V 0.115 0.385 0.000 1
V2 V 0.385 0.885 0.000 1
V3 V 0.615 0.115 0.000 1
V4 V 0.885 0.615 0.000 1
In1 In 0.000 0.000 0.000 1
In2 In 0.500 0.500 0.000 1
H1 H 0.095 0.595 0.500 1
H2 H 0.405 0.095 0.500 1
H3 H 0.595 0.905 0.500 1
H4 H 0.905 0.405 0.500 1
```

=====

Stability, highest: a)